## CuOsCl3 (GGA-PBEsol)

Data for CuOsCl3 after structural relaxation.

The structure in POSCAR format:
```
CuOsCl3
1.0
4.596 0.000 0.000
0.000 4.596 0.000
0.000 0.000 4.596
Cu Os Cl
1 1 3
Cartesian
0.000 0.000 0.000
2.298 2.298 2.298
0.000 0.000 2.298
0.000 2.298 0.000
2.298 0.000 0.000
```

- Raw formation energy: 1023 meV/atom

***

## CuOsCl (GGA-PBEsol)

Data for CuOsCl after structural relaxation.

The structure in POSCAR format:
```
CuOsCl
1.0
0.000 2.521 6.180
1.374 0.000 6.180
1.374 2.521 0.000
Cu Os Cl
1 1 1
Cartesian
0.000 0.000 0.000
1.374 2.521 4.101
1.374 2.521 8.228
```

- Raw formation energy: 697 meV/atom
- Offset from the most stable computed form: 47 meV/atom

***

- Which of these has the highest raw formation energy?
  CuOsCl3

***

- What is the formula in the first record?
  CuOsCl3

***

What did the first record say?
## CuOsCl3 (GGA-PBEsol)

Data for CuOsCl3 after structural relaxation.

The structure in POSCAR format:
```
CuOsCl3
1.0
4.596 0.000 0.000
0.000 4.596 0.000
0.000 0.000 4.596
Cu Os Cl
1 1 3
Cartesian
0.000 0.000 0.000
2.298 2.298 2.298
0.000 0.000 2.298
0.000 2.298 0.000
2.298 0.000 0.000
```

- Raw formation energy: 1023 meV/atom